Entry 1:
Computed, not measured: a relaxed structure of TiCuNi3 at the GGA-PBE level of DFT.

Results
polymorph energy (0 for the lowest one)	0	meV per atom
ΔE_f	-0.73	kcal/mol of atoms
calculated density	7.332	g cm⁻³
uncorrected energy	-58.985	eV for the cell shown

Structure (POSCAR):
```
TiCuNi3
1.0
-1.8388 3.4562 -2.1193
-3.6920 -2.6212 -1.0713
-0.9639 3.0876 5.8716
Ni Ti Cu
6 2 2
direct
0.7500 0.3960 0.2766 Ni
0.0000 0.0000 0.0000 Ni
0.5000 0.0000 0.0000 Ni
0.7500 0.8806 0.2766 Ni
0.2500 0.1194 0.7234 Ni
0.2500 0.6040 0.7234 Ni
0.2500 0.1898 0.3797 Ti
0.7500 0.8102 0.6203 Ti
0.7500 0.4437 0.8874 Cu
0.2500 0.5563 0.1126 Cu
```

=====

Entry 2:
Computed, not measured: a relaxed structure of SnHg5 at the GGA-PBE level of DFT.

Results
polymorph energy (0 for the lowest one)	12	meV per atom
ΔE_f	1.40	kcal/mol of atoms
calculated density	11.754	g cm⁻³
uncorrected energy	-5.149	eV for the cell shown

Structure (POSCAR):
```
SnHg5
1.0
4.0530 0.0000 0.0000
0.0000 5.5075 0.0000
0.0000 -2.7538 7.0986
Hg Sn
5 1
direct
0.5000 0.1698 0.3396 Hg
0.0000 0.6660 0.3320 Hg
0.5000 0.5000 0.0000 Hg
0.0000 0.3340 0.6680 Hg
0.5000 0.8302 0.6604 Hg
0.0000 0.0000 0.0000 Sn
```

=====

Entry 3:
Computed, not measured: a relaxed structure of Np2PaMnS6 at the GGA-PBE level of DFT.

Results
calculated density	6.476	g cm⁻³
ΔE_f (raw)	-1.190	eV per atom
uncorrected energy	-81.211	eV for the cell shown

Structure (POSCAR):
```
Np2PaMnS6
1.0
-1.4327 -0.0837 -6.6678
-6.4020 -1.0611 -2.0993
-3.6495 5.5883 -2.7743
S Pa Np Mn
6 1 2 1
direct
0.0996 0.4427 0.7652 S
0.2084 0.9448 0.2542 S
0.5925 0.2084 0.2542 S
0.6925 0.0996 0.7652 S
0.9448 0.5925 0.2542 S
0.4427 0.6925 0.7652 S
0.8231 0.8231 0.5307 Pa
0.0191 0.0191 0.9426 Np
0.5161 0.5161 0.4517 Np
0.3227 0.3227 0.0320 Mn
```

=====

Entry 4:
Computed, not measured: a relaxed structure of NdTeP at the GGA-PBE level of DFT.

Results
calculated density	5.554	g cm⁻³
ΔE_f (raw)	-0.976	eV per atom
uncorrected energy	-32.498	eV for the cell shown

Structure (POSCAR):
```
NdTeP
1.0
5.7636 0.0000 0.0000
-2.8818 3.0702 -0.1910
0.0000 -0.0244 10.2338
Te P Nd
2 2 2
direct
0.2073 0.4146 0.3530 Te
0.7927 0.5854 0.6470 Te
0.6868 0.3736 0.8795 P
0.3132 0.6264 0.1205 P
0.2060 0.4119 0.8400 Nd
0.7940 0.5881 0.1600 Nd
```

=====

Entry 5:
Computed, not measured: a relaxed structure of LaTc2B2 at the GGA-PBE level of DFT.

Results
ΔE_f	-5.89	kcal/mol of atoms
calculated density	6.950	g cm⁻³
uncorrected energy	-40.292	eV for the cell shown

Structure (POSCAR):
```
LaTc2B2
1.0
4.1234 0.0000 0.0000
0.0000 4.1234 0.0000
-2.0617 -2.0617 5.0100
La B Tc
1 2 2
direct
0.0000 0.0000 0.0000 La
0.6926 0.6926 0.3853 B
0.3074 0.3074 0.6147 B
0.7500 0.2500 0.5000 Tc
0.2500 0.7500 0.5000 Tc
```

=====

Entry 6:
Computed, not measured: a relaxed structure of Be2CoSi at the GGA-PBE level of DFT.

Results
calculated density	4.615	g cm⁻³
ΔE_f (raw)	-0.222	eV per atom
uncorrected energy	-20.870	eV for the cell shown

Structure (POSCAR):
```
Be2CoSi
1.0
-3.4393 -1.3614 0.7118
-1.7513 -2.1290 -2.5670
-0.4762 -3.6852 0.6176
Be Co Si
2 1 1
direct
0.0000 0.0000 0.0000 Be
0.2500 0.2500 0.2500 Be
0.5000 0.5000 0.5000 Co
0.7500 0.7500 0.7500 Si
```

=====

Entry 7:
Computed, not measured: a relaxed structure of SrInF4 at the GGA-PBE level of DFT.

Results
calculated density	4.808	g cm⁻³
ΔE_f (raw)	-2.984	eV per atom
uncorrected energy	-59.616	eV for the cell shown

Structure (POSCAR):
```
SrInF4
1.0
5.7394 0.4124 -0.0002
-0.4257 5.7384 -0.0002
-2.6570 -3.0756 5.8086
Sr F In
2 8 2
direct
0.3750 0.6250 0.2500 Sr
0.6250 0.3750 0.7500 Sr
0.4992 0.2396 0.9999 F
0.2395 0.9994 0.4998 F
0.2397 0.4995 0.5001 F
0.7603 0.5005 0.4999 F
0.9993 0.2397 0.0000 F
0.0007 0.7603 0.0000 F
0.7605 0.0006 0.5002 F
0.5008 0.7604 0.0001 F
0.8750 0.1250 0.2500 In
0.1250 0.8750 0.7500 In
```

=====

Entry 8:
Computed, not measured: a relaxed structure of Rb2YNbCu at the GGA-PBE level of DFT.

Results
ΔE_f	31.22	kcal/mol of atoms
calculated density	3.558	g cm⁻³
uncorrected energy	-15.796	eV for the cell shown

Structure (POSCAR):
```
Rb2YNbCu
1.0
-3.3198 -4.8887 1.2723
4.4292 -2.9250 0.3183
0.4072 1.2585 5.8983
Rb Nb Y Cu
2 1 1 1
direct
0.0000 0.0000 0.5000 Rb
0.5000 0.0000 0.0000 Rb
0.0000 0.5000 0.0000 Nb
0.5000 0.5000 0.5000 Y
0.0000 0.0000 0.0000 Cu
```

=====

Entry 9:
Computed, not measured: a relaxed structure of Li2HfReF at the GGA-PBE level of DFT.

Results
calculated density	8.356	g cm⁻³
ΔE_f (raw)	-0.380	eV per atom
uncorrected energy	-30.001	eV for the cell shown

Structure (POSCAR):
```
Li2HfReF
1.0
-1.6694 1.6514 -2.9535
-4.9685 -1.4703 1.9861
-0.1915 3.2420 1.9210
F Re Li Hf
1 1 2 1
direct
0.0000 0.0000 0.0000 F
0.0000 0.5000 0.0000 Re
0.0000 0.0000 0.5000 Li
0.5000 0.0000 0.0000 Li
0.5000 0.5000 0.5000 Hf
```

=====

Entry 10:
Computed, not measured: a relaxed structure of Hf2AlHg at the GGA-PBE level of DFT.

Results
polymorph energy (0 for the lowest one)	144	meV per atom
ΔE_f	-1.34	kcal/mol of atoms
calculated density	12.018	g cm⁻³
uncorrected energy	-24.183	eV for the cell shown

Structure (POSCAR):
```
Hf2AlHg
1.0
0.0000 3.4308 3.4308
3.4308 0.0000 3.4308
3.4308 3.4308 0.0000
Hg Hf Al
1 2 1
direct
0.5000 0.5000 0.5000 Hg
0.7500 0.7500 0.7500 Hf
0.2500 0.2500 0.2500 Hf
0.0000 0.0000 0.0000 Al
```

=====

Entry 11:
Computed, not measured: a relaxed structure of Nd5Mg2Sn at the GGA-PBE level of DFT.

Results
ΔE_f	-3.81	kcal/mol of atoms
calculated density	5.807	g cm⁻³
uncorrected energy	-64.705	eV for the cell shown

Structure (POSCAR):
```
Nd5Mg2Sn
1.0
-7.3302 0.9516 3.4142
-3.1702 -5.2676 -5.3383
6.7423 -3.6178 5.7753
Nd Mg Sn
10 4 2
direct
0.0038 0.5038 0.6826 Nd
0.5000 0.5000 0.0000 Nd
0.5038 0.6788 0.6826 Nd
0.4962 0.3212 0.3174 Nd
0.8212 0.9962 0.3174 Nd
0.1788 0.0038 0.6826 Nd
0.3212 0.8212 0.3174 Nd
0.6788 0.1788 0.6826 Nd
0.9962 0.4962 0.3174 Nd
0.0000 0.0000 0.0000 Nd
0.6266 0.1266 0.0000 Mg
0.3734 0.8734 0.0000 Mg
0.8734 0.6266 0.0000 Mg
0.1266 0.3734 0.0000 Mg
0.2500 0.2500 0.5000 Sn
0.7500 0.7500 0.5000 Sn
```

=====

Entry 12:
Computed, not measured: a relaxed structure of Te2AsPb at the GGA-PBE level of DFT.

Results
polymorph energy (0 for the lowest one)	300	meV per atom
calculated density	8.139	g cm⁻³
ΔE_f (raw)	0.226	eV per atom
uncorrected energy	-13.735	eV for the cell shown

Structure (POSCAR):
```
Te2AsPb
1.0
3.7350 0.0000 0.0000
0.0000 5.4213 0.0000
0.0000 0.0000 5.4137
Pb Te As
1 2 1
direct
0.0000 0.5000 0.5000 Pb
0.0000 0.0000 0.0000 Te
0.5000 0.5000 0.0000 Te
0.5000 0.0000 0.5000 As
```